(1)
! Tb2Pm2Nd4Er | Alexandria via LeMat-Bulk | PBE | relaxed; values from VASP
! E_form, eV/f.u.: 0.1
! D(E_F), states/eV per cell: 11.53
! Space group: C2/m (12)
&SYSTEM
  ibrav = 0, nat = 9, ntyp = 4
/
ATOMIC_SPECIES
Tb 158.93 Tb.upf
Pm 145.00 Pm.upf
Nd 144.24 Nd.upf
Er 167.26 Er.upf
CELL_PARAMETERS angstrom
9.476 -1.832 0.000
9.476 1.832 0.000
-4.206 0.000 8.783
ATOMIC_POSITIONS crystal
Tb 0.148 0.148 0.169
Tb 0.852 0.852 0.831
Pm 0.334 0.334 0.502
Pm 0.666 0.666 0.498
Nd 0.186 0.186 0.832
Nd 0.482 0.482 0.168
Nd 0.518 0.518 0.832
Nd 0.814 0.814 0.168
Er 0.000 0.000 0.500


(2)
! Li2MnRh | Alexandria via LeMat-Bulk | PBE | relaxed; values from VASP
! Excess energy over the best structure of this formula in the dataset, eV per formula unit: 0.07
! E_form, eV/f.u.: -0.2
! D(E_F), states/eV per cell: 3.73
! Space group: I-4m2 (119)
&SYSTEM
  ibrav = 0, nat = 8, ntyp = 3
/
ATOMIC_SPECIES
Li 6.94 Li.upf
Mn 54.94 Mn.upf
Rh 102.91 Rh.upf
CELL_PARAMETERS angstrom
4.287 0.000 0.000
0.000 4.287 0.000
0.000 0.000 6.053
ATOMIC_POSITIONS crystal
Li 0.000 0.000 0.000
Li 0.000 0.500 0.250
Li 0.500 0.000 0.750
Li 0.500 0.500 0.500
Mn 0.000 0.000 0.500
Mn 0.500 0.500 0.000
Rh 0.000 0.500 0.750
Rh 0.500 0.000 0.250


(3)
! Cs2SrTe10 | Alexandria via LeMat-Bulk | PBE | relaxed; values from VASP
! Formation energy (no corrections), eV per atom: -0.444
! D(E_F), states/eV per cell: 9.74
! Space group: P2_1/c (14)
&SYSTEM
  ibrav = 0, nat = 26, ntyp = 3
/
ATOMIC_SPECIES
Cs 132.91 Cs.upf
Sr 87.62 Sr.upf
Te 127.60 Te.upf
CELL_PARAMETERS angstrom
5.453 0.000 0.000
0.000 16.188 0.000
-0.015 0.000 13.802
ATOMIC_POSITIONS crystal
Cs 0.004 0.216 0.183
Cs 0.004 0.284 0.683
Cs 0.996 0.716 0.317
Cs 0.996 0.784 0.817
Sr 0.500 0.000 0.500
Sr 0.500 0.500 0.000
Te 0.005 0.143 0.440
Te 0.005 0.357 0.940
Te 0.495 0.536 0.237
Te 0.495 0.704 0.011
Te 0.495 0.796 0.511
Te 0.495 0.964 0.737
Te 0.497 0.587 0.482
Te 0.497 0.913 0.982
Te 0.498 0.621 0.681
Te 0.498 0.879 0.181
Te 0.502 0.121 0.819
Te 0.502 0.379 0.319
Te 0.503 0.087 0.018
Te 0.503 0.413 0.518
Te 0.505 0.036 0.263
Te 0.505 0.204 0.489
Te 0.505 0.296 0.989
Te 0.505 0.464 0.763
Te 0.995 0.643 0.060
Te 0.995 0.857 0.560


(4)
! Ho3Ga2Ni9Ge | Alexandria via LeMat-Bulk | PBE | relaxed; values from VASP
! E_form, eV/f.u.: -2.3
! D(E_F), states/eV per cell: 9.19
! Space group: P-3m1 (164)
&SYSTEM
  ibrav = 0, nat = 15, ntyp = 4
/
ATOMIC_SPECIES
Ho 164.93 Ho.upf
Ga 69.72 Ga.upf
Ni 58.69 Ni.upf
Ge 72.64 Ge.upf
CELL_PARAMETERS angstrom
6.007 0.000 0.000
-3.004 5.202 0.000
0.000 0.000 8.329
ATOMIC_POSITIONS crystal
Ho 0.000 0.000 0.000
Ho 0.333 0.667 0.709
Ho 0.667 0.333 0.291
Ga 0.333 0.667 0.189
Ga 0.667 0.333 0.811
Ni 0.000 0.500 0.000
Ni 0.133 0.266 0.279
Ni 0.133 0.867 0.279
Ni 0.266 0.133 0.721
Ni 0.500 0.000 0.000
Ni 0.500 0.500 0.000
Ni 0.734 0.867 0.279
Ni 0.867 0.133 0.721
Ni 0.867 0.734 0.721
Ge 0.000 0.000 0.500


(5)
! Sc3TaSi | Alexandria via LeMat-Bulk | PBE | relaxed; values from VASP
! Excess energy over the best structure of this formula in the dataset, eV per formula unit: 1.72
! Formation energy (no corrections), eV per atom: 0.878
! D(E_F), states/eV per cell: 3.96
! Space group: Pm-3m (221)
&SYSTEM
  ibrav = 0, nat = 5, ntyp = 3
/
ATOMIC_SPECIES
Sc 44.96 Sc.upf
Ta 180.95 Ta.upf
Si 28.09 Si.upf
CELL_PARAMETERS angstrom
5.041 0.000 0.000
0.000 5.041 0.000
0.000 0.000 5.041
ATOMIC_POSITIONS crystal
Sc 0.000 0.000 0.500
Sc 0.000 0.500 0.000
Sc 0.500 0.000 0.000
Ta 0.000 0.000 0.000
Si 0.500 0.500 0.500


(6)
! La3HgN | Alexandria via LeMat-Bulk | PBE | relaxed; values from VASP
! Formation energy (no corrections), eV per atom: -0.795
! D(E_F), states/eV per cell: 4.33
! Space group: Pm-3m (221)
&SYSTEM
  ibrav = 0, nat = 5, ntyp = 3
/
ATOMIC_SPECIES
La 138.91 La.upf
Hg 200.59 Hg.upf
N 14.01 N.upf
CELL_PARAMETERS angstrom
5.111 0.000 0.000
0.000 5.111 0.000
0.000 0.000 5.111
ATOMIC_POSITIONS crystal
La 0.000 0.000 0.500
La 0.000 0.500 0.000
La 0.500 0.000 0.000
Hg 0.500 0.500 0.500
N 0.000 0.000 0.000


(7)
! NdY8Ho6 | Alexandria via LeMat-Bulk | PBE | relaxed; values from VASP
! Excess energy over the best structure of this formula in the dataset, eV per formula unit: 0.00
! E_form, eV/f.u.: 2.0
! D(E_F), states/eV per cell: 23.36
! Space group: R-3 (148)
&SYSTEM
  ibrav = 0, nat = 15, ntyp = 3
/
ATOMIC_SPECIES
Nd 144.24 Nd.upf
Y 88.91 Y.upf
Ho 164.93 Ho.upf
CELL_PARAMETERS angstrom
4.522 2.611 6.886
-4.522 2.611 6.886
0.000 -5.221 6.886
ATOMIC_POSITIONS crystal
Nd 0.000 0.000 0.000
Y 0.110 0.720 0.745
Y 0.255 0.890 0.280
Y 0.280 0.255 0.890
Y 0.423 0.423 0.423
Y 0.577 0.577 0.577
Y 0.720 0.745 0.110
Y 0.745 0.110 0.720
Y 0.890 0.280 0.255
Ho 0.109 0.539 0.232
Ho 0.232 0.109 0.539
Ho 0.461 0.768 0.891
Ho 0.539 0.232 0.109
Ho 0.768 0.891 0.461
Ho 0.891 0.461 0.768


(8)
! Tm4BiSe2 | Alexandria via LeMat-Bulk | PBE | relaxed; values from VASP
! Excess energy over the best structure of this formula in the dataset, eV per formula unit: 0.26
! Formation energy (no corrections), eV per atom: -1.120
! D(E_F), states/eV per cell: 6.05
! Space group: R-3m (166)
&SYSTEM
  ibrav = 0, nat = 7, ntyp = 3
/
ATOMIC_SPECIES
Tm 168.93 Tm.upf
Bi 208.98 Bi.upf
Se 78.96 Se.upf
CELL_PARAMETERS angstrom
2.011 1.161 13.440
-2.011 1.161 13.440
0.000 -2.322 13.440
ATOMIC_POSITIONS crystal
Tm 0.134 0.134 0.134
Tm 0.284 0.284 0.284
Tm 0.716 0.716 0.716
Tm 0.866 0.866 0.866
Bi 0.000 0.000 0.000
Se 0.423 0.423 0.423
Se 0.577 0.577 0.577


| no. | total magnetization (Bohr magnetons per cell) |
| --- | --- |
| 1 | 0.000 |
| 2 | 8.518 |
| 3 | 0.000 |
| 4 | 0.000 |
| 5 | 0.000 |
| 6 | 0.000 |
| 7 | 0.000 |
| 8 | 0.001 |